[1]
TbSmDy6Er2 | Alexandria via LeMat-Bulk | PBE | optimized geometry; formation enthalpy at 0 K = 0.12 eV per atom; magnetic moment = 0.000 μB/f.u.
1.0
9.060 -1.985 -2.060
0.822 8.488 -1.986
0.822 -2.300 8.408
Tb Sm Dy Er
2 2 12 4
direct
0.250 0.409 0.591
0.750 0.591 0.409
0.250 0.974 0.026
0.750 0.026 0.974
0.056 0.121 0.752
0.444 0.248 0.879
0.944 0.879 0.248
0.556 0.752 0.121
0.317 0.982 0.434
0.183 0.566 0.018
0.683 0.018 0.566
0.817 0.434 0.982
0.119 0.708 0.491
0.381 0.509 0.292
0.881 0.292 0.509
0.619 0.491 0.708
0.454 0.802 0.698
0.046 0.302 0.198
0.546 0.198 0.302
0.954 0.698 0.802

=====

[2]
TbSm2Dy5Er | Alexandria via LeMat-Bulk | PBE | optimized geometry; formation enthalpy at 0 K = 0.28 eV per atom; magnetic moment = 0.000 μB/f.u.
1.0
-4.245 3.038 -6.853
0.789 -7.651 -3.880
-5.029 0.004 8.532
Tb Sm Dy Er
2 4 10 2
direct
0.250 0.250 0.500
0.750 0.750 0.500
0.117 0.383 0.000
0.617 0.117 0.000
0.383 0.883 0.000
0.883 0.617 0.000
0.928 0.428 0.279
0.649 0.149 0.721
0.072 0.572 0.721
0.149 0.072 0.721
0.572 0.649 0.721
0.851 0.928 0.279
0.428 0.351 0.279
0.351 0.851 0.279
0.500 0.500 0.000
0.000 0.000 0.000
0.250 0.750 0.500
0.750 0.250 0.500

=====

[3]
TbSm2Dy2Er | Alexandria via LeMat-Bulk | PBE | optimized geometry; formation enthalpy at 0 K = 0.27 eV per atom; magnetic moment = 0.000 μB/f.u.
1.0
3.374 0.000 0.000
0.000 6.574 0.000
0.000 0.000 17.850
Tb Sm Dy Er
2 4 4 2
direct
0.500 0.500 0.000
0.000 0.000 0.500
0.500 0.269 0.316
0.000 0.769 0.184
0.500 0.731 0.684
0.000 0.231 0.816
0.500 0.771 0.354
0.500 0.229 0.646
0.000 0.729 0.854
0.000 0.271 0.146
0.000 0.000 0.000
0.500 0.500 0.500

=====

[4]
Tb2Sm2DyEr2 | Alexandria via LeMat-Bulk | PBE | optimized geometry; formation enthalpy at 0 K = 0.09 eV per atom; magnetic moment = 0.000 μB/f.u.
1.0
-0.097 -2.804 -2.117
3.311 -1.583 4.862
-6.994 -5.564 7.693
Tb Sm Dy Er
2 2 1 2
direct
0.448 0.897 0.769
0.552 0.103 0.231
0.670 0.339 0.916
0.330 0.661 0.084
0.000 0.000 0.500
0.775 0.549 0.363
0.225 0.451 0.637

=====

[5]
Tb3Sm6DyEr2 | Alexandria via LeMat-Bulk | PBE | optimized geometry; formation enthalpy at 0 K = 0.01 eV per atom; magnetic moment = 0.000 μB/f.u.
1.0
6.213 0.000 0.009
-3.105 5.381 0.009
-1.048 -1.815 11.642
Tb Sm Dy Er
3 6 1 2
direct
0.167 0.833 0.500
0.833 0.167 0.500
0.500 0.500 0.500
0.917 0.583 0.751
0.750 0.750 0.249
0.083 0.417 0.249
0.583 0.917 0.751
0.250 0.250 0.751
0.417 0.083 0.249
0.000 0.000 0.000
0.333 0.667 0.000
0.667 0.333 0.000

=====

[6]
Tb6Sm2DyEr3 | Alexandria via LeMat-Bulk | PBE | optimized geometry; formation enthalpy at 0 K = 0.02 eV per atom; magnetic moment = 0.000 μB/f.u.
1.0
-1.613 1.715 -5.690
4.808 -3.756 0.833
-8.105 -8.511 0.839
Tb Sm Dy Er
6 2 1 3
direct
0.915 0.582 0.747
0.752 0.752 0.253
0.085 0.418 0.253
0.582 0.915 0.747
0.248 0.248 0.747
0.418 0.085 0.253
0.333 0.667 0.000
0.667 0.333 0.000
0.000 0.000 0.000
0.166 0.834 0.500
0.834 0.166 0.500
0.500 0.500 0.500

=====

[7]
Tb2Sm5DyEr | Alexandria via LeMat-Bulk | PBE | optimized geometry; formation enthalpy at 0 K = 0.15 eV per atom; magnetic moment = 0.000 μB/f.u.
1.0
-2.213 3.662 3.653
7.195 -5.372 5.412
7.388 7.167 -2.708
Tb Sm Dy Er
4 10 2 2
direct
0.885 0.770 0.814
0.111 0.223 0.737
0.115 0.230 0.314
0.889 0.777 0.237
0.387 0.774 0.022
0.720 0.439 0.810
0.481 0.963 0.742
0.299 0.597 0.707
0.983 0.967 0.520
0.613 0.226 0.522
0.280 0.561 0.310
0.519 0.037 0.242
0.701 0.403 0.207
0.017 0.033 0.020
0.801 0.601 0.510
0.199 0.399 0.010
0.590 0.181 0.960
0.410 0.819 0.460

=====

[8]
Tb2SmDyEr5 | Alexandria via LeMat-Bulk | PBE | optimized geometry; formation enthalpy at 0 K = 0.29 eV per atom; magnetic moment = 0.001 μB/f.u.
1.0
-1.760 8.587 -0.608
-2.836 -1.165 -8.234
-4.564 -4.938 6.958
Tb Sm Dy Er
4 2 2 10
direct
0.114 0.386 0.000
0.614 0.114 0.000
0.386 0.886 0.000
0.886 0.614 0.000
0.250 0.250 0.500
0.750 0.750 0.500
0.250 0.750 0.500
0.750 0.250 0.500
0.928 0.428 0.268
0.659 0.159 0.732
0.072 0.572 0.732
0.159 0.072 0.732
0.572 0.659 0.732
0.841 0.928 0.268
0.428 0.341 0.268
0.341 0.841 0.268
0.500 0.500 0.000
0.000 0.000 0.000

=====

> What is the magnetic moment in the fourth record?

0.000 μB/f.u.

=====

> Look up the magnetic moment of the third one.

0.000 μB/f.u.

=====

Copy entry 2 word for word.
TbSm2Dy5Er | Alexandria via LeMat-Bulk | PBE | optimized geometry; formation enthalpy at 0 K = 0.28 eV per atom; magnetic moment = 0.000 μB/f.u.
1.0
-4.245 3.038 -6.853
0.789 -7.651 -3.880
-5.029 0.004 8.532
Tb Sm Dy Er
2 4 10 2
direct
0.250 0.250 0.500
0.750 0.750 0.500
0.117 0.383 0.000
0.617 0.117 0.000
0.383 0.883 0.000
0.883 0.617 0.000
0.928 0.428 0.279
0.649 0.149 0.721
0.072 0.572 0.721
0.149 0.072 0.721
0.572 0.649 0.721
0.851 0.928 0.279
0.428 0.351 0.279
0.351 0.851 0.279
0.500 0.500 0.000
0.000 0.000 0.000
0.250 0.750 0.500
0.750 0.250 0.500